{"formula": "Sr2LaTaSe", "functional": "PBE-GGA", "state": "relaxed", "final_energy_ev_per_atom": -4.2054, "space_group": "P4/mmm", "raw_formation_energy_ev_per_atom": 0.520, "lattice_angstrom": [[-3.060, 4.875, 2.412], [-4.100, -1.446, -2.278], [-1.552, -3.435, 4.974]], "species": ["Se", "Ta", "La", "Sr", "Sr"], "fractional_positions": [[0.000, 0.500, 0.000], [0.000, 0.000, 0.000], [0.500, 0.500, 0.500], [0.000, 0.000, 0.500], [0.500, 0.000, 0.000]]}

=====

{"formula": "SrLa3Tb2Se6", "functional": "PBE-GGA", "state": "relaxed", "final_energy_ev_per_atom": -5.7953, "space_group": "C2/m", "raw_formation_energy_ev_per_atom": -1.909, "lattice_angstrom": [[-4.847, -5.143, -2.013], [1.532, 1.031, 7.112], [-4.057, 6.065, -1.268]], "species": ["Sr", "Tb", "Tb", "Se", "Se", "Se", "Se", "Se", "Se", "La", "La", "La"], "fractional_positions": [[0.000, 0.000, 0.000], [0.667, 0.333, 0.000], [0.333, 0.667, 0.000], [0.920, 0.577, 0.759], [0.265, 0.265, 0.766], [0.423, 0.080, 0.241], [0.577, 0.920, 0.759], [0.735, 0.735, 0.234], [0.080, 0.423, 0.241], [0.500, 0.500, 0.500], [0.838, 0.162, 0.500], [0.162, 0.838, 0.500]]}

=====

{"formula": "SrLa4Tb3Se8", "functional": "PBE-GGA", "state": "relaxed", "final_energy_ev_per_atom": -5.8481, "space_group": "R-3m", "raw_formation_energy_ev_per_atom": -1.901, "lattice_angstrom": [[-0.137, -6.426, -5.505], [-1.278, -5.454, 6.398], [-5.228, 6.574, -1.039]], "species": ["La", "La", "La", "La", "Se", "Se", "Se", "Se", "Se", "Se", "Se", "Se", "Tb", "Tb", "Tb", "Sr"], "fractional_positions": [[0.500, 0.000, 0.500], [0.000, 0.000, 0.500], [0.500, 0.000, 0.000], [0.000, 0.000, 0.000], [0.250, 0.738, 0.500], [0.262, 0.262, 0.012], [0.750, 0.262, 0.500], [0.744, 0.733, 0.489], [0.256, 0.267, 0.511], [0.250, 0.738, 0.988], [0.738, 0.738, 0.988], [0.750, 0.262, 0.012], [0.000, 0.500, 0.500], [0.500, 0.500, 0.000], [0.500, 0.500, 0.500], [0.000, 0.500, 0.000]]}

=====

{"formula": "SrLa2TbSe4", "functional": "PBE-GGA", "state": "relaxed", "final_energy_ev_per_atom": -5.6849, "space_group": "P2/m", "raw_formation_energy_ev_per_atom": -1.922, "lattice_angstrom": [[-3.950, 1.287, -0.932], [0.722, -2.760, -6.871], [-2.290, -7.054, -0.034]], "species": ["Se", "Se", "Se", "Se", "Sr", "Tb", "La", "La"], "fractional_positions": [[0.000, 0.745, 0.743], [0.500, 0.738, 0.262], [0.500, 0.262, 0.738], [0.000, 0.255, 0.257], [0.500, 0.500, 0.000], [0.000, 0.500, 0.500], [0.000, 0.000, 0.000], [0.500, 0.000, 0.500]]}

=====

{"formula": "SrLaTb4Se8", "functional": "PBE-GGA", "state": "relaxed", "final_energy_ev_per_atom": -5.6051, "space_group": "R3m", "raw_formation_energy_ev_per_atom": -1.819, "lattice_angstrom": [[-1.678, 7.645, 3.469], [1.016, 1.198, 8.416], [6.559, 4.935, 2.860]], "species": ["Se", "Se", "Se", "Se", "Se", "Se", "Se", "Se", "Tb", "Tb", "Tb", "Tb", "La", "Sr"], "fractional_positions": [[0.751, 0.231, 0.267], [0.243, 0.788, 0.726], [0.758, 0.758, 0.726], [0.236, 0.236, 0.291], [0.751, 0.751, 0.267], [0.243, 0.243, 0.726], [0.788, 0.243, 0.726], [0.231, 0.751, 0.267], [0.002, 0.002, 0.502], [0.002, 0.495, 0.502], [0.626, 0.626, 0.122], [0.495, 0.002, 0.502], [0.001, 0.001, 0.996], [0.373, 0.373, 0.881]]}

=====

{"formula": "SrLaTeSe", "functional": "PBE-GGA", "state": "relaxed", "final_energy_ev_per_atom": -5.1078, "space_group": "R3m", "raw_formation_energy_ev_per_atom": -1.799, "lattice_angstrom": [[4.467, 0.000, 0.000], [2.233, 3.869, 0.000], [2.233, 1.290, 7.511]], "species": ["Se", "La", "Sr", "Te"], "fractional_positions": [[0.249, 0.249, 0.254], [0.506, 0.506, 0.482], [0.994, 0.994, 0.019], [0.752, 0.752, 0.745]]}

=====

{"formula": "SrLaTlSe2", "functional": "PBE-GGA", "state": "relaxed", "final_energy_ev_per_atom": -3.2779, "space_group": "P4/mmm", "raw_formation_energy_ev_per_atom": -0.089, "lattice_angstrom": [[5.773, 0.000, 0.000], [0.000, 5.773, 0.000], [0.000, 0.000, 5.745]], "species": ["Se", "Se", "La", "Sr", "Tl"], "fractional_positions": [[0.500, 0.000, 0.000], [0.000, 0.500, 0.000], [0.000, 0.000, 0.500], [0.500, 0.500, 0.500], [0.000, 0.000, 0.000]]}

=====

{"formula": "Sr2LaTlSe4", "functional": "PBE-GGA", "state": "relaxed", "final_energy_ev_per_atom": -4.7842, "space_group": "P2/m", "raw_formation_energy_ev_per_atom": -1.710, "lattice_angstrom": [[-0.904, -1.399, 4.147], [7.443, -0.230, 1.545], [2.198, 6.972, 2.830]], "species": ["Se", "Se", "Se", "Se", "Sr", "Sr", "La", "Tl"], "fractional_positions": [[0.500, 0.255, 0.735], [0.000, 0.754, 0.727], [0.500, 0.745, 0.265], [0.000, 0.246, 0.273], [0.000, 0.000, 0.000], [0.500, 0.000, 0.500], [0.000, 0.500, 0.500], [0.500, 0.500, 0.000]]}

=====

What did the seventh record say?
{"formula": "SrLaTlSe2", "functional": "PBE-GGA", "state": "relaxed", "final_energy_ev_per_atom": -3.2779, "space_group": "P4/mmm", "raw_formation_energy_ev_per_atom": -0.089, "lattice_angstrom": [[5.773, 0.000, 0.000], [0.000, 5.773, 0.000], [0.000, 0.000, 5.745]], "species": ["Se", "Se", "La", "Sr", "Tl"], "fractional_positions": [[0.500, 0.000, 0.000], [0.000, 0.500, 0.000], [0.000, 0.000, 0.500], [0.500, 0.500, 0.500], [0.000, 0.000, 0.000]]}